[1]
# GGA-PBE Th3Ga2Rh6, optimized geometry
# Formation energy from the elements = -0.80 eV/atom
data_Th3Ga2Rh6
_chemical_formula_sum 'Th12 Ga8 Rh24'
_cell_length_a 9.472
_cell_length_b 9.472
_cell_length_c 9.472
_cell_angle_alpha 90.00
_cell_angle_beta 90.00
_cell_angle_gamma 90.00
_symmetry_space_group_name_H-M 'I m -3 m'
_symmetry_Int_Tables_number 229
_symmetry_space_group_name_Hall '-I 4 2 3'
loop_
_atom_site_label
_atom_site_fract_x
_atom_site_fract_y
_atom_site_fract_z
Th1 0.000 0.000 0.290
Ga1 0.250 0.250 0.250
Rh1 0.000 0.348 0.348


[2]
# GGA-PBE KPuTeS, optimized geometry
# E_form (uncorrected) = -1338 meV per atom
data_KPuTeS
_chemical_formula_sum 'K3 Pu3 Te3 S3'
_cell_length_a 4.2991
_cell_length_b 4.2991
_cell_length_c 23.5092
_cell_angle_alpha 90.00
_cell_angle_beta 90.00
_cell_angle_gamma 120.00
_symmetry_space_group_name_H-M 'R 3 m'
_symmetry_Int_Tables_number 160
_symmetry_space_group_name_Hall 'R 3 -2"'
loop_
_atom_site_label
_atom_site_fract_x
_atom_site_fract_y
_atom_site_fract_z
K1 0.0000 0.0000 0.0000
Pu1 0.0000 0.0000 0.4828
Te1 0.0000 0.0000 0.2294
S1 0.0000 0.0000 0.7599


Total moment readings, ordered: 0.00 15.00 μB/cell